Entry 1:
Compound: Pm3PrSm5
Source: the Alexandria database
Functional: GGA-PBE
Structure: optimized geometry

## Properties
relative energy among the computed polymorphs = 0.0000 eV per atom
DFT formation energy = 244 kJ/mol of formula units
raw total energy = -4.46 eV per atom
crystal system = monoclinic
magnetic moment = 0.00 μB per cell
mass density = 6.9 Mg/m³

a = 10.8180 Å, b = 10.8180 Å, c = 11.6251 Å
α = 120.46°, β = 120.46°, γ = 33.37°
Fractional positions:
Pm: 0.0000 0.0000 0.0000
Pm: 0.0000 0.0000 0.5000
Pm: 0.0458 0.5936 0.9693
Pm: 0.4064 0.9542 0.5307
Pm: 0.5936 0.0458 0.4693
Pm: 0.9542 0.4064 0.0307
Pr: 0.1079 0.8921 0.2500
Pr: 0.8921 0.1079 0.7500
Sm: 0.0240 0.6180 0.6631
Sm: 0.1736 0.5444 0.3526
Sm: 0.3820 0.9760 0.8369
Sm: 0.4090 0.5910 0.7500
Sm: 0.4556 0.8264 0.1474
Sm: 0.5444 0.1736 0.8526
Sm: 0.5910 0.4090 0.2500
Sm: 0.6180 0.0240 0.1631
Sm: 0.8264 0.4556 0.6474
Sm: 0.9760 0.3820 0.3369


Entry 2:
Compound: Tm5ScAs6
Source: the Alexandria database
Functional: GGA-PBE
Structure: optimized geometry

## Properties
DFT formation energy = -1711 kJ/mol of formula units
raw total energy = -6.19 eV per atom
crystal system = monoclinic
magnetic moment = 0.00 μB per cell
mass density = 8.0 Mg/m³

a = 6.9895 Å, b = 6.9895 Å, c = 6.9880 Å
α = 99.61°, β = 99.61°, γ = 119.97°
Fractional positions:
Tm: 0.0000 0.0000 0.0000
Tm: 0.1662 0.8338 0.5000
Tm: 0.3320 0.6680 0.0000
Tm: 0.6680 0.3320 0.0000
Tm: 0.8338 0.1662 0.5000
Sc: 0.5000 0.5000 0.5000
As: 0.0905 0.4182 0.2540
As: 0.2549 0.2549 0.7471
As: 0.4182 0.0905 0.2540
As: 0.5818 0.9095 0.7460
As: 0.7451 0.7451 0.2529
As: 0.9095 0.5818 0.7460


Entry 3:
Compound: Cr2ReOs
Source: the Alexandria database
Functional: GGA-PBE
Structure: optimized geometry

## Properties
DFT formation energy = 67 kJ/mol of formula units
raw total energy = -10.56 eV per atom
crystal system = monoclinic
magnetic moment = 0.00 μB per cell
mass density = 14.8 Mg/m³

a = 4.5556 Å, b = 4.5556 Å, c = 4.6845 Å
α = 99.62°, β = 99.62°, γ = 34.29°
Fractional positions:
Cr: 0.2473 0.2473 0.2456
Cr: 0.7527 0.7527 0.7544
Re: 0.0000 0.0000 0.5000
Os: 0.5000 0.5000 0.0000


Entry 4:
Compound: CsRbCd2Pt
Source: the Alexandria database
Functional: GGA-PBE
Structure: optimized geometry

## Properties
relative energy among the computed polymorphs = 0.0286 eV per atom
DFT formation energy = -41 kJ/mol of formula units
raw total energy = -2.02 eV per atom
crystal system = tetragonal
magnetic moment = 0.00 μB per cell
mass density = 5.6 Mg/m³

a = 5.4698 Å, b = 5.4698 Å, c = 6.3281 Å
α = 90.00°, β = 90.00°, γ = 90.00°
Fractional positions:
Cs: 0.0000 0.0000 0.0000
Rb: 0.5000 0.5000 0.0000
Cd: 0.0000 0.5000 0.5000
Cd: 0.5000 0.0000 0.5000
Pt: 0.0000 0.0000 0.5000


Entry 5:
Compound: La4RuPtI2
Source: the Alexandria database
Functional: GGA-PBE
Structure: optimized geometry

## Properties
raw total energy = -5.80 eV per atom
crystal system = monoclinic
magnetic moment = 0.00 μB per cell
mass density = 7.1 Mg/m³

a = 7.3982 Å, b = 4.2605 Å, c = 8.6150 Å
α = 90.00°, β = 106.64°, γ = 90.00°
Fractional positions:
La: 0.2191 0.0000 0.1880
La: 0.2600 0.5000 0.8152
La: 0.7400 0.5000 0.1848
La: 0.7809 0.0000 0.8120
Ru: 0.0000 0.5000 0.0000
Pt: 0.5000 0.0000 0.0000
I: 0.0000 0.0000 0.5000
I: 0.5000 0.5000 0.5000


Entry 6:
Compound: NbAsC3
Source: the Alexandria database
Functional: GGA-PBE
Structure: optimized geometry

## Properties
relative energy among the computed polymorphs = 0.0000 eV per atom
DFT formation energy = 1055 kJ/mol of formula units
raw total energy = -6.29 eV per atom
crystal system = cubic
magnetic moment = 0.00 μB per cell
mass density = 4.5 Mg/m³

a = 4.2153 Å, b = 4.2153 Å, c = 4.2153 Å
α = 90.00°, β = 90.00°, γ = 90.00°
Fractional positions:
Nb: 0.0000 0.0000 0.0000
As: 0.5000 0.5000 0.5000
C: 0.0000 0.0000 0.5000
C: 0.0000 0.5000 0.0000
C: 0.5000 0.0000 0.0000


Entry 7:
Compound: Ca8Cd2Rh
Source: the Alexandria database
Functional: GGA-PBE
Structure: optimized geometry

## Properties
relative energy among the computed polymorphs = 0.1056 eV per atom
DFT formation energy = -123 kJ/mol of formula units
raw total energy = -2.41 eV per atom
crystal system = orthorhombic
magnetic moment = 0.00 μB per cell
mass density = 3.1 Mg/m³

a = 9.0763 Å, b = 9.0763 Å, c = 9.0763 Å
α = 147.31°, β = 118.99°, γ = 70.96°
Fractional positions:
Ca: 0.1127 0.3431 0.7696
Ca: 0.1224 0.1224 0.0000
Ca: 0.3183 0.0000 0.3183
Ca: 0.4265 0.6569 0.7696
Ca: 0.5735 0.3431 0.2304
Ca: 0.6817 0.0000 0.6817
Ca: 0.8776 0.8776 0.0000
Ca: 0.8873 0.6569 0.2304
Cd: 0.3063 0.8063 0.5000
Cd: 0.6937 0.1937 0.5000
Rh: 0.0000 0.5000 0.5000


Entry 8:
Compound: MnCdOs2
Source: the Alexandria database
Functional: GGA-PBE
Structure: optimized geometry

## Properties
DFT formation energy = 251 kJ/mol of formula units
raw total energy = -7.48 eV per atom
crystal system = orthorhombic
magnetic moment = 2.76 μB per cell
mass density = 14.8 Mg/m³

a = 4.8692 Å, b = 4.8692 Å, c = 2.8263 Å
α = 90.00°, β = 90.00°, γ = 113.22°
Fractional positions:
Mn: 0.0000 0.0000 0.0000
Cd: 0.5000 0.5000 0.0000
Os: 0.0000 0.5000 0.5000
Os: 0.5000 0.0000 0.5000


Which formula does entry 7 have?
Ca8Cd2Rh